Computed, not measured: VCdPdO5 after structural relaxation at the GGA+U level of DFT.

Results
- N(E_F) (states/eV/cell) = 6.33
- space group = C2/c, No. 15
- calculated total energy (eV per atom) = -5.91

```
VCdPdO5
1.0
3.403 -4.553 0.000
3.403 4.553 0.000
-2.760 0.000 6.699
V Cd Pd O
2 2 2 10
Direct
0.171 0.829 0.750
0.829 0.171 0.250
0.170 0.830 0.250
0.830 0.170 0.750
0.500 0.500 0.000
0.500 0.500 0.500
0.129 0.232 0.427
0.161 0.593 0.869
0.232 0.129 0.927
0.407 0.839 0.631
0.409 0.591 0.250
0.591 0.409 0.750
0.593 0.161 0.369
0.768 0.871 0.073
0.839 0.407 0.131
0.871 0.768 0.573
```